Computed, not measured: a relaxed structure of ZrCdOs at the PBE level of DFT.

Cell lengths 6.4331, 6.4331, 6.4331 Å; angles 90.00, 90.00, 90.00 degrees
With the nearest neighbours (Å) after each atom.
Positions (direct):
Zr: 0.0000 0.0000 0.0000  4 Cd 2.79, 4 Os 2.79
Zr: 0.0000 0.5000 0.5000  4 Cd 2.79, 4 Os 2.79
Zr: 0.5000 0.0000 0.5000  4 Cd 2.79, 4 Os 2.79
Zr: 0.5000 0.5000 0.0000  4 Cd 2.79, 4 Os 2.79
Cd: 0.2500 0.2500 0.7500  4 Zr 2.79
Cd: 0.2500 0.7500 0.2500  4 Zr 2.79
Cd: 0.7500 0.2500 0.2500  4 Zr 2.79
Cd: 0.7500 0.7500 0.7500  4 Zr 2.79
Os: 0.2500 0.2500 0.2500  4 Zr 2.79
Os: 0.2500 0.7500 0.7500  4 Zr 2.79
Os: 0.7500 0.2500 0.7500  4 Zr 2.79
Os: 0.7500 0.7500 0.2500  4 Zr 2.79

- distance to the lowest polymorph of the same formula (kJ per mole of atoms) = 37.0
- total magnetization (μB/f.u.) = 0.0
- E (eV per atom) = -6.27
- energy relative to the elements (eV/atom) = 0.617
- V (Å³/atom) = 22.186

***

Computed, not measured: a relaxed structure of DyLu3Tl2C2 at the PBE level of DFT.

Cell lengths 3.5491, 3.5491, 15.9959 Å; angles 90.00, 90.00, 120.00 degrees
With the nearest neighbours (Å) after each atom.
Positions (direct):
Dy: 0.0000 0.0000 0.0000  3 C 2.46
Lu: 0.0000 0.0000 0.3374  3 C 2.42
Lu: 0.3333 0.6667 0.4998  3 C 2.43
Lu: 0.3333 0.6667 0.8333  3 C 2.43
Tl: 0.0000 0.0000 0.6673  6 Lu 3.35-3.37, 6 Tl 3.55
Tl: 0.3333 0.6667 0.1707  3 Lu 3.36, 3 Dy 3.41, 6 Tl 3.55
C: 0.6667 0.3333 0.4185  6 Lu 2.42-2.43
C: 0.6667 0.3333 0.9152  3 Lu 2.43, 3 Dy 2.46

- total magnetization (μB/f.u.) = 0.2
- E (eV per atom) = -5.59
- V (Å³/atom) = 21.811

***

Computed, not measured: a relaxed structure of PrEr2As3 at the PBE level of DFT.

Cell lengths 4.1547, 4.1547, 10.1661 Å; angles 90.00, 90.00, 120.00 degrees
With the nearest neighbours (Å) after each atom.
Positions (direct):
Pr: 0.0000 0.0000 0.0000  6 As 3.01
Er: 0.3333 0.6667 0.3391  6 As 2.90
Er: 0.6667 0.3333 0.6609  6 As 2.90
As: 0.0000 0.0000 0.5000  6 Er 2.90
As: 0.3333 0.6667 0.8211  3 Er 2.90, 3 Pr 3.01
As: 0.6667 0.3333 0.1789  3 Er 2.90, 3 Pr 3.01

- total magnetization (μB/f.u.) = 0.0
- E (eV per atom) = -6.14
- V (Å³/atom) = 25.329

***

Computed, not measured: a relaxed structure of AlW4 at the PBE level of DFT.

Cell lengths 9.7805, 9.7805, 5.1260 Å; angles 90.00, 90.00, 90.00 degrees
With the nearest neighbours (Å) after each atom.
Positions (direct):
Al: 0.0000 0.0000 0.0000  8 W 2.59-2.85
Al: 0.1092 0.1092 0.5000  6 W 2.69-2.97, 2 Al 2.97
Al: 0.3908 0.6092 0.0000  6 W 2.69-2.97, 2 Al 2.97
Al: 0.5000 0.5000 0.5000  8 W 2.59-2.85
Al: 0.6092 0.3908 0.0000  6 W 2.69-2.97, 2 Al 2.97
Al: 0.8908 0.8908 0.5000  6 W 2.69-2.97, 2 Al 2.97
W: 0.0366 0.3747 0.5000  5 W 2.55-2.83, 1 Al 2.69
W: 0.0663 0.2568 0.0000  1 Al 2.59, 9 W 2.64-2.86
W: 0.1253 0.5366 0.0000  5 W 2.55-2.83, 1 Al 2.69
W: 0.1839 0.8161 0.2514  4 W 2.55-2.82, 1 Al 2.85
W: 0.1839 0.8161 0.7486  4 W 2.55-2.82, 1 Al 2.85
W: 0.2432 0.5663 0.5000  1 Al 2.59, 9 W 2.64-2.86
W: 0.2568 0.0663 0.0000  1 Al 2.59, 9 W 2.64-2.86
W: 0.3161 0.3161 0.2486  4 W 2.55-2.82, 1 Al 2.85
W: 0.3161 0.3161 0.7514  4 W 2.55-2.82, 1 Al 2.85
W: 0.3747 0.0366 0.5000  5 W 2.55-2.83, 1 Al 2.69
W: 0.4337 0.7568 0.5000  1 Al 2.59, 9 W 2.64-2.86
W: 0.4634 0.8747 0.0000  5 W 2.55-2.83, 1 Al 2.69
W: 0.5366 0.1253 0.0000  5 W 2.55-2.83, 1 Al 2.69
W: 0.5663 0.2432 0.5000  1 Al 2.59, 9 W 2.64-2.86
W: 0.6253 0.9634 0.5000  5 W 2.55-2.83, 1 Al 2.69
W: 0.6839 0.6839 0.2486  4 W 2.55-2.82, 1 Al 2.85
W: 0.6839 0.6839 0.7514  4 W 2.55-2.82, 1 Al 2.85
W: 0.7432 0.9337 0.0000  1 Al 2.59, 9 W 2.64-2.86
W: 0.7568 0.4337 0.5000  1 Al 2.59, 9 W 2.64-2.86
W: 0.8161 0.1839 0.2514  4 W 2.55-2.82, 1 Al 2.85
W: 0.8161 0.1839 0.7486  4 W 2.55-2.82, 1 Al 2.85
W: 0.8747 0.4634 0.0000  5 W 2.55-2.83, 1 Al 2.69
W: 0.9337 0.7432 0.0000  1 Al 2.59, 9 W 2.64-2.86
W: 0.9634 0.6253 0.5000  5 W 2.55-2.83, 1 Al 2.69

- total magnetization (μB/f.u.) = 0.0
- E (eV per atom) = -10.96
- V (Å³/atom) = 16.345

***

Computed, not measured: a relaxed structure of OsPtNO at the PBE level of DFT.

Cell lengths 3.8220, 3.8220, 6.2605 Å; angles 90.00, 90.00, 90.00 degrees
With the nearest neighbours (Å) after each atom.
Positions (direct):
Os: 0.2500 0.7500 0.0000  4 N 2.10
Os: 0.7500 0.2500 0.0000  4 N 2.10
Pt: 0.2500 0.2500 0.3218  4 O 2.21
Pt: 0.7500 0.7500 0.6782  4 O 2.21
N: 0.2500 0.2500 0.8628  4 Os 2.10
N: 0.7500 0.7500 0.1372  4 Os 2.10
O: 0.2500 0.7500 0.5000  4 Pt 2.21
O: 0.7500 0.2500 0.5000  4 Pt 2.21

- distance to the lowest polymorph of the same formula (kJ per mole of atoms) = 45.9
- total magnetization (μB/f.u.) = 0.0
- E (eV per atom) = -7.02
- V (Å³/atom) = 11.431

***

Computed, not measured: a relaxed structure of Er5Zn2Pb at the PBE level of DFT.

Cell lengths 8.5670, 8.5670, 8.5670 Å; angles 124.04, 124.04, 83.13 degrees
With the nearest neighbours (Å) after each atom.
Positions (direct):
Er: 0.0000 0.0000 0.0000  4 Zn 3.12, 2 Pb 3.20
Er: 0.0091 0.5091 0.8068  3 Zn 2.98-3.01, 2 Pb 3.33
Er: 0.2024 0.0091 0.5000  3 Zn 2.98-3.01, 2 Pb 3.33
Er: 0.2976 0.7976 0.8068  3 Zn 2.98-3.01, 2 Pb 3.33
Er: 0.4909 0.2976 0.5000  3 Zn 2.98-3.01, 2 Pb 3.33
Er: 0.5000 0.5000 0.0000  4 Zn 3.12, 2 Pb 3.20
Er: 0.5091 0.7024 0.5000  3 Zn 2.98-3.01, 2 Pb 3.33
Er: 0.7024 0.2024 0.1932  3 Zn 2.98-3.01, 2 Pb 3.33
Er: 0.7976 0.9909 0.5000  3 Zn 2.98-3.01, 2 Pb 3.33
Er: 0.9909 0.4909 0.1932  3 Zn 2.98-3.01, 2 Pb 3.33
Zn: 0.1374 0.3626 0.5000  8 Er 2.98-3.12, 1 Zn 3.12
Zn: 0.3626 0.8626 0.2251  8 Er 2.98-3.12, 1 Zn 3.12
Zn: 0.6374 0.1374 0.7749  8 Er 2.98-3.12, 1 Zn 3.12
Zn: 0.8626 0.6374 0.5000  8 Er 2.98-3.12, 1 Zn 3.12
Pb: 0.2500 0.2500 0.0000  10 Er 3.20-3.33
Pb: 0.7500 0.7500 0.0000  10 Er 3.20-3.33

- total magnetization (μB/f.u.) = 0.0
- E (eV per atom) = -3.97
- V (Å³/atom) = 25.886

***

Computed, not measured: a relaxed structure of Lu4CdSN2 at the PBE level of DFT.

Cell lengths 3.4568, 3.4568, 13.7865 Å; angles 90.00, 90.00, 120.00 degrees
With the nearest neighbours (Å) after each atom.
Positions (direct):
Lu: 0.0000 0.0000 0.1333  3 N 2.34
Lu: 0.0000 0.0000 0.8667  3 N 2.34
Lu: 0.6667 0.3333 0.3200  3 N 2.41
Lu: 0.6667 0.3333 0.6800  3 N 2.41
Cd: 0.0000 0.0000 0.5000  6 Lu 3.18, 6 Cd 3.46
S: 0.6667 0.3333 0.0000  6 Lu 2.71
N: 0.3333 0.6667 0.2221  6 Lu 2.34-2.41
N: 0.3333 0.6667 0.7779  6 Lu 2.34-2.41

- total magnetization (μB/f.u.) = 0.0
- E (eV per atom) = -6.39
- V (Å³/atom) = 17.834

***

Computed, not measured: a relaxed structure of LaDyCo2Si2 at the PBE level of DFT.

Cell lengths 4.0035, 4.0035, 6.9305 Å; angles 90.00, 90.00, 90.00 degrees
With the nearest neighbours (Å) after each atom.
Positions (direct):
La: 0.0000 0.0000 0.0000  4 Si 3.05, 4 Co 3.05
Dy: 0.5000 0.5000 0.6286  4 Co 2.86, 4 Si 2.95
Co: 0.0000 0.5000 0.3329  4 Si 2.32-2.34
Co: 0.5000 0.0000 0.3329  4 Si 2.32-2.34
Si: 0.0000 0.0000 0.5072  4 Co 2.34
Si: 0.5000 0.5000 0.1630  4 Co 2.32

- total magnetization (μB/f.u.) = 0.6
- E (eV per atom) = -6.47
- V (Å³/atom) = 18.514

***

Computed, not measured: a relaxed structure of Al2GaTc2 at the PBE level of DFT.

Cell lengths 3.6407, 3.6407, 12.9699 Å; angles 90.00, 90.00, 90.00 degrees
With the nearest neighbours (Å) after each atom.
Positions (direct):
Al: 0.0000 0.0000 0.1009  1 Al 2.62, 4 Tc 2.66, 4 Ga 2.89
Al: 0.0000 0.0000 0.8991  1 Al 2.62, 4 Tc 2.66, 4 Ga 2.89
Al: 0.5000 0.5000 0.3991  1 Al 2.62, 4 Tc 2.66, 4 Ga 2.89
Al: 0.5000 0.5000 0.6009  1 Al 2.62, 4 Tc 2.66, 4 Ga 2.89
Ga: 0.0000 0.0000 0.5000  8 Al 2.89
Ga: 0.5000 0.5000 0.0000  8 Al 2.89
Tc: 0.0000 0.5000 0.2500  4 Tc 2.57, 4 Al 2.66
Tc: 0.0000 0.5000 0.7500  4 Tc 2.57, 4 Al 2.66
Tc: 0.5000 0.0000 0.2500  4 Tc 2.57, 4 Al 2.66
Tc: 0.5000 0.0000 0.7500  4 Tc 2.57, 4 Al 2.66

- total magnetization (μB/f.u.) = 0.0
- E (eV per atom) = -6.01
- V (Å³/atom) = 17.191

***

Computed, not measured: a relaxed structure of ErB4Ir at the PBE level of DFT.

Cell lengths 3.2379, 3.2379, 6.6458 Å; angles 90.00, 90.00, 120.00 degrees
With the nearest neighbours (Å) after each atom.
Positions (direct):
Er: 0.0000 0.0000 0.0000  12 B 2.63
B: 0.3333 0.6667 0.2784  3 B 1.87
B: 0.3333 0.6667 0.7216  3 B 1.87
B: 0.6667 0.3333 0.2784  3 B 1.87
B: 0.6667 0.3333 0.7216  3 B 1.87
Ir: 0.0000 0.0000 0.5000  12 B 2.38

- distance to the lowest polymorph of the same formula (kJ per mole of atoms) = 0.0
- total magnetization (μB/f.u.) = 0.0
- E (eV per atom) = -6.91
- V (Å³/atom) = 10.057

***

Computed, not measured: a relaxed structure of Pm2GaO4 at the PBE level of DFT.

Cell lengths 6.6292, 6.6292, 6.6292 Å; angles 60.00, 60.00, 60.00 degrees
With the nearest neighbours (Å) after each atom.
Positions (direct):
Pm: 0.0000 0.0000 0.0000  6 O 2.42
Pm: 0.0000 0.0000 0.5000  6 O 2.42
Pm: 0.0000 0.5000 0.0000  6 O 2.42
Pm: 0.5000 0.0000 0.0000  6 O 2.42
Ga: 0.3750 0.3750 0.3750  4 O 1.90
Ga: 0.6250 0.6250 0.6250  4 O 1.90
O: 0.2579 0.2579 0.2579  1 Ga 1.90
O: 0.2579 0.2579 0.7262  1 Ga 1.90
O: 0.2579 0.7262 0.2579  1 Ga 1.90
O: 0.2738 0.7421 0.7421  1 Ga 1.90
O: 0.7262 0.2579 0.2579  1 Ga 1.90
O: 0.7421 0.2738 0.7421  1 Ga 1.90
O: 0.7421 0.7421 0.2738  1 Ga 1.90
O: 0.7421 0.7421 0.7421  1 Ga 1.90

- total magnetization (μB/f.u.) = 0.0
- E (eV per atom) = -7.20
- V (Å³/atom) = 14.715

***

Computed, not measured: a relaxed structure of GdMgZn at the PBE level of DFT.

Cell lengths 6.3790, 6.3909, 15.9758 Å; angles 85.34, 87.29, 60.35 degrees
With the nearest neighbours (Å) after each atom.
Positions (direct):
Gd: 0.0000 0.0000 0.0000  2 Zn 3.11-3.19, 2 Mg 3.30-3.46, 1 Gd 3.48
Gd: 0.0244 0.5109 0.8732  2 Zn 2.98-3.08, 2 Mg 3.10-3.24, 1 Gd 3.27
Gd: 0.2977 0.1785 0.6346  2 Zn 2.93-3.20
Gd: 0.4582 0.9635 0.8433  2 Zn 3.09-3.13, 3 Mg 3.16-3.38, 3 Gd 3.27-3.40
Gd: 0.8089 0.1781 0.4115  3 Zn 3.00-3.27, 1 Gd 3.32
Gd: 0.8474 0.9254 0.2079  3 Zn 2.92-3.25, 2 Mg 3.21-3.25
Gd: 0.8808 0.1224 0.7825  4 Mg 3.17-3.38, 2 Zn 3.18-3.19, 4 Gd 3.40-3.53
Gd: 0.9231 0.6042 0.4632  4 Zn 2.90-3.14, 2 Mg 3.13-3.23
Mg: 0.1980 0.3188 0.2890  5 Zn 2.69-2.89, 1 Mg 2.96
Mg: 0.3482 0.9248 0.1754  4 Zn 2.66-2.95, 3 Mg 2.91-2.97
Mg: 0.3647 0.6066 0.7234  2 Zn 2.84-2.89, 1 Mg 3.08
Mg: 0.3686 0.6883 0.4991  3 Zn 2.69-2.87, 1 Mg 2.97
Mg: 0.3917 0.4669 0.1265  3 Zn 2.70-2.88, 1 Mg 2.97
Mg: 0.5107 0.4690 0.9198  1 Zn 2.76, 1 Mg 2.95
Mg: 0.6646 0.7085 0.0330  2 Zn 2.59-2.66
Mg: 0.9296 0.9059 0.6065  2 Zn 2.64-2.67
Zn: 0.0010 0.3641 0.1251  2 Zn 2.53-2.67, 2 Mg 2.59-2.66
Zn: 0.2671 0.6781 0.3316  2 Zn 2.53-2.78, 2 Mg 2.69-2.80
Zn: 0.3668 0.1825 0.0157  4 Mg 2.66-2.95, 1 Zn 2.67
Zn: 0.3696 0.1320 0.4532  1 Zn 2.52
Zn: 0.5501 0.8464 0.3376  3 Zn 2.52-2.63, 1 Mg 2.80
Zn: 0.7072 0.4703 0.2470  3 Zn 2.53-2.78
Zn: 0.7383 0.3789 0.5987  1 Zn 2.60, 3 Mg 2.64-2.89
Zn: 0.7952 0.6339 0.7046  1 Zn 2.60, 2 Mg 2.67-2.84

- total magnetization (μB/f.u.) = 0.0
- E (eV per atom) = -2.58
- V (Å³/atom) = 23.506

***

Among the records above, which one has the highest V? Er5Zn2Pb

***

E of number 8 (LaDyCo2Si2)? -6.47 eV per atom